VASP calculation (PBE) on a relaxed Pr2HgAu3 crystal.

a = 4.0557 Å, b = 4.1432 Å, c = 18.6350 Å
α = 90.00°, β = 90.00°, γ = 90.00°
Space group Imm2 (No. 44)
Unique sites:
Pr 0.0000 0.0000 0.0000 [2 per cell]
Pr 0.0000 0.5000 0.2295 [2 per cell]
Hg 0.0000 0.0000 0.4062 [2 per cell]
Au 0.0000 0.0000 0.5607 [2 per cell]
Au 0.0000 0.5000 0.6570 [2 per cell]
Au 0.0000 0.5000 0.8048 [2 per cell]

Results
The formation energy is -618 meV/atom. The calculation puts the calculated volume at 313.13 Å³/cell.



VASP calculation (PBE) on a relaxed PrHg6Au crystal.

a = 8.8500 Å, b = 8.8500 Å, c = 10.3117 Å
α = 90.00°, β = 90.00°, γ = 120.00°
Space group R-3m (No. 166, hexagonal axes)
Unique sites:
Pr 0.0000 0.0000 0.0000 [3 per cell]
Hg 0.0828 0.5414 0.3673 [18 per cell]
Au 0.0000 0.0000 0.5000 [3 per cell]

Results
The formation energy is -82 meV/atom. The calculation puts the calculated volume at 699.44 Å³/cell.



VASP calculation (PBE) on a relaxed Pr2HgAu6 crystal.

a = 11.2509 Å, b = 6.5118 Å, c = 5.6076 Å
α = 90.00°, β = 90.08°, γ = 90.00°
Space group C2/m (No. 12)
Unique sites:
Pr 0.1667 0.0000 0.3282 [4 per cell]
Hg 0.0000 0.5000 0.5000 [2 per cell]
Au 0.0937 0.2185 0.8253 [8 per cell]
Au 0.1872 0.5000 0.1737 [4 per cell]

Results
The formation energy is -513 meV/atom. The calculation puts the calculated volume at 410.83 Å³/cell.



VASP calculation (PBE) on a relaxed PrHgAu crystal.

a = 4.9128 Å, b = 4.9128 Å, c = 3.5655 Å
α = 90.00°, β = 90.00°, γ = 120.00°
Space group P-6m2 (No. 187)
Unique sites:
Pr 0.0000 0.0000 0.0000 [1 per cell]
Hg 0.3333 0.6667 0.5000 [1 per cell]
Au 0.6667 0.3333 0.5000 [1 per cell]

Results
The formation energy is -609 meV/atom. The calculation puts the calculated volume at 74.53 Å³/cell.



VASP calculation (PBE) on a relaxed Pr3Hg3Au2 crystal.

a = 7.8993 Å, b = 7.8993 Å, c = 3.9619 Å
α = 90.00°, β = 90.00°, γ = 120.00°
Space group P-62m (No. 189)
Unique sites:
Pr 0.0000 0.5952 0.0000 [3 per cell]
Hg 0.0000 0.2325 0.5000 [3 per cell]
Au 0.3333 0.6667 0.5000 [2 per cell]

Results
The formation energy is -596 meV/atom. The calculation puts the calculated volume at 214.10 Å³/cell.



VASP calculation (PBE) on a relaxed Pr2Hg2Au15 crystal.

a = 9.7357 Å, b = 9.7357 Å, c = 14.4141 Å
α = 90.00°, β = 90.00°, γ = 120.00°
Space group R-3m (No. 166, hexagonal axes)
Unique sites:
Pr 0.0000 0.0000 0.1506 [6 per cell]
Hg 0.0000 0.0000 0.3948 [6 per cell]
Au 0.0000 0.3111 0.5000 [18 per cell]
Au 0.0000 0.5000 0.0000 [9 per cell]
Au 0.0130 0.5065 0.6510 [18 per cell]

Results
The formation energy is -262 meV/atom. The calculation puts the calculated volume at 1183.19 Å³/cell.



VASP calculation (PBE) on a relaxed Pr2Hg3Au2 crystal.

a = 4.6517 Å, b = 20.8368 Å, c = 3.7426 Å
α = 90.00°, β = 90.00°, γ = 90.00°
Space group Cmmm (No. 65)
Unique sites:
Pr 0.0000 0.1633 0.0000 [4 per cell]
Hg 0.0000 0.0000 0.0000 [2 per cell]
Hg 0.0000 0.4286 0.5000 [4 per cell]
Au 0.0000 0.2888 0.5000 [4 per cell]

Results
The formation energy is -506 meV/atom. The calculation puts the calculated volume at 362.76 Å³/cell.



VASP calculation (PBE) on a relaxed PrPuHgAu crystal.

a = 3.7116 Å, b = 3.7116 Å, c = 7.6724 Å
α = 90.00°, β = 90.00°, γ = 90.00°
Space group P4mm (No. 99)
Unique sites:
Pr 0.0000 0.0000 0.0000 [1 per cell]
Pu 0.0000 0.0000 0.5285 [1 per cell]
Hg 0.5000 0.5000 0.2699 [1 per cell]
Au 0.5000 0.5000 0.7594 [1 per cell]

Results
The formation energy is -425 meV/atom. The calculation puts the calculated volume at 105.70 Å³/cell.



VASP calculation (PBE) on a relaxed PrPuHgAu crystal.

a = 7.5168 Å, b = 7.5168 Å, c = 7.5168 Å
α = 90.00°, β = 90.00°, γ = 90.00°
Space group F-43m (No. 216)
Unique sites:
Pr 0.0000 0.0000 0.0000 [4 per cell]
Pu 0.0000 0.0000 0.5000 [4 per cell]
Hg 0.2500 0.2500 0.2500 [4 per cell]
Au 0.2500 0.2500 0.7500 [4 per cell]

Results
The formation energy is -388 meV/atom. The calculation puts the calculated volume at 424.72 Å³/cell.



VASP calculation (PBE) on a relaxed PrHgRhAu crystal.

a = 7.0067 Å, b = 7.0067 Å, c = 7.0067 Å
α = 90.00°, β = 90.00°, γ = 90.00°
Space group F-43m (No. 216)
Unique sites:
Pr 0.0000 0.0000 0.0000 [4 per cell]
Hg 0.0000 0.0000 0.5000 [4 per cell]
Rh 0.2500 0.2500 0.2500 [4 per cell]
Au 0.2500 0.2500 0.7500 [4 per cell]

Results
The formation energy is -387 meV/atom. The calculation puts the calculated volume at 343.98 Å³/cell.



VASP calculation (PBE) on a relaxed PrHgSbAu crystal.

a = 7.3964 Å, b = 7.3964 Å, c = 7.3964 Å
α = 90.00°, β = 90.00°, γ = 90.00°
Space group F-43m (No. 216)
Unique sites:
Pr 0.0000 0.0000 0.0000 [4 per cell]
Hg 0.2500 0.2500 0.2500 [4 per cell]
Sb 0.0000 0.0000 0.5000 [4 per cell]
Au 0.2500 0.2500 0.7500 [4 per cell]

Results
The calculation puts the formation energy without anion corrections at -0.48 eV per atom. The calculation puts the calculated volume at 404.63 Å³/cell.



VASP calculation (PBE) on a relaxed PrSmHgAu crystal.

a = 3.7622 Å, b = 3.7622 Å, c = 7.5672 Å
α = 90.00°, β = 90.00°, γ = 90.00°
Space group P4mm (No. 99)
Unique sites:
Pr 0.0000 0.0000 0.0000 [1 per cell]
Sm 0.0000 0.0000 0.4771 [1 per cell]
Hg 0.5000 0.5000 0.7315 [1 per cell]
Au 0.5000 0.5000 0.2538 [1 per cell]

Results
The formation energy is -620 meV/atom. The calculation puts the calculated volume at 107.11 Å³/cell.



Question: Which of these has the highest calculated volume?
Answer: Pr2Hg2Au15